{
  "formula": "NaIn6Rh",
  "functional": "PBE-GGA",
  "state": "relaxed",
  "cell": [[4.481, 0.000, 0.000], [0.000, 6.498, -0.749], [0.000, -0.337, 6.533]],
  "species": ["Na", "In", "In", "In", "In", "In", "In", "Rh"],
  "frac_coords": [[0.500, 0.103, 0.897], [0.500, 0.150, 0.395], [0.500, 0.605, 0.850], [0.000, 0.420, 0.202], [0.000, 0.798, 0.580], [0.000, 0.315, 0.685], [0.000, 0.888, 0.112], [0.500, 0.721, 0.279]],
  "magmom_total_mub_per_fu": 0.00,
  "crystal_system": "orthorhombic",
  "final_energy_ev_per_atom": -3.208,
  "dos_at_fermi_per_ev_fu": 2.5,
  "volume_a3_per_cell": 189,
  "e_form_ev_per_fu": -0.6
}

{
  "formula": "Na2In4Rh",
  "functional": "PBE-GGA",
  "state": "relaxed",
  "cell": [[-3.720, -2.816, -2.174], [1.049, -3.873, 3.222], [-6.514, -0.471, 5.664]],
  "species": ["Na", "Na", "Rh", "In", "In", "In", "In"],
  "frac_coords": [[0.637, 0.637, 0.726], [0.363, 0.363, 0.274], [0.000, 0.000, 0.000], [0.829, 0.829, 0.341], [0.171, 0.171, 0.659], [0.000, 0.500, 0.000], [0.500, 0.000, 0.000]],
  "magmom_total_mub_per_fu": 0.00,
  "crystal_system": "tetragonal",
  "final_energy_ev_per_atom": -3.050,
  "dos_at_fermi_per_ev_fu": 3.4,
  "volume_a3_per_cell": 208,
  "e_form_ev_per_fu": -0.4
}

Copy entry 1 word for word.
{
  "formula": "NaIn6Rh",
  "functional": "PBE-GGA",
  "state": "relaxed",
  "cell": [[4.481, 0.000, 0.000], [0.000, 6.498, -0.749], [0.000, -0.337, 6.533]],
  "species": ["Na", "In", "In", "In", "In", "In", "In", "Rh"],
  "frac_coords": [[0.500, 0.103, 0.897], [0.500, 0.150, 0.395], [0.500, 0.605, 0.850], [0.000, 0.420, 0.202], [0.000, 0.798, 0.580], [0.000, 0.315, 0.685], [0.000, 0.888, 0.112], [0.500, 0.721, 0.279]],
  "magmom_total_mub_per_fu": 0.00,
  "crystal_system": "orthorhombic",
  "final_energy_ev_per_atom": -3.208,
  "dos_at_fermi_per_ev_fu": 2.5,
  "volume_a3_per_cell": 189,
  "e_form_ev_per_fu": -0.6
}